This record from Alexandria via LeMat-Bulk describes an optimized crystal structure of Pr2InRu2. The functional is PBE-GGA.

Output
Raw total energy, eV per atom: -6.445
Space group: C2/c
Calculated volume, Å³/f.u.: 118

abc: 5.8548 5.8548 8.3773
angles: 104.02 104.02 58.58
Closest atoms and distances in Å follow each position.
Fractional positions:
Pr1 0.0112 0.6994 0.8543  6 Ru 3.07-3.34, 1 In 3.36
Pr2 0.3006 0.9888 0.6457  6 Ru 3.07-3.34, 1 In 3.36
Pr3 0.6994 0.0112 0.3543  6 Ru 3.07-3.34, 1 In 3.36
Pr4 0.9888 0.3006 0.1457  6 Ru 3.07-3.34, 1 In 3.36
In1 0.3616 0.6384 0.2500  4 Ru 2.80-2.84
In2 0.6384 0.3616 0.7500  4 Ru 2.80-2.84
Ru1 0.1971 0.5135 0.4886  1 Ru 2.45
Ru2 0.4865 0.8029 0.0114  1 Ru 2.45
Ru3 0.5135 0.1971 0.9886  1 Ru 2.45
Ru4 0.8029 0.4865 0.5114  1 Ru 2.45